(1)
Compound: Nd7Al2Te2
Source: Alexandria
Functional: GGA-PBE
Structure: optimized geometry

Cell: 4.0650 9.9193 9.9193 Å, 62.41 78.18 78.18°
With the nearest neighbours (Å) after each atom.
Fractional positions:
Nd 0.8239 0.0489 0.3033  1 Al 3.05, 3 Te 3.16-3.27
Nd 0.8593 0.4281 0.8532  2 Al 3.13, 2 Te 3.27
Nd 0.5000 0.0294 0.9706  3 Al 3.22-3.27
Nd 0.6122 0.4893 0.2863  3 Al 3.24-3.31, 2 Te 3.24, 2 Nd 3.61
Nd 0.3878 0.7137 0.5107  3 Al 3.24-3.31, 2 Te 3.24, 2 Nd 3.61
Nd 0.1761 0.6967 0.9511  1 Al 3.05, 3 Te 3.16-3.27
Nd 0.1407 0.1468 0.5719  2 Al 3.13, 2 Te 3.27
Al 0.0000 0.7804 0.2196  8 Nd 3.05-3.31
Al 0.5000 0.3427 0.6573  7 Nd 3.13-3.24
Te 0.7348 0.8542 0.6763  7 Nd 3.16-3.27
Te 0.2652 0.3237 0.1458  7 Nd 3.16-3.27

Computed properties:
Raw formation energy   -0.55 eV per atom
E   -0.17787 Ha/atom



(2)
Compound: SrTl7In5
Source: Alexandria
Functional: GGA-PBE
Structure: optimized geometry

Cell: 6.2530 8.5750 8.5750 Å, 80.90 68.62 68.62°
With the nearest neighbours (Å) after each atom.
Fractional positions:
Sr 0.0076 0.9924 0.9924  10 Tl 3.81-4.15, 6 In 3.93-4.19
Tl 0.6455 0.3545 0.3545  3 Tl 3.28-3.48, 4 In 3.45
Tl 0.3593 0.6407 0.6407  1 Tl 3.28, 6 In 3.39-3.53
Tl 0.9987 0.3524 0.6501  4 Tl 3.31-3.62, 5 In 3.43-3.64
Tl 0.9987 0.6501 0.3524  4 Tl 3.31-3.62, 5 In 3.43-3.64
Tl 0.2795 0.2205 0.2205  4 In 3.26, 6 Tl 3.33-3.62
Tl 0.4990 0.8048 0.1972  5 In 3.31-3.33, 3 Tl 3.33-3.57
Tl 0.4990 0.1972 0.8048  5 In 3.31-3.33, 3 Tl 3.33-3.57
In 0.4991 0.9958 0.5059  3 In 3.13-3.17, 7 Tl 3.26-3.47
In 0.9992 0.9958 0.5059  3 In 3.13-3.17, 7 Tl 3.26-3.47
In 0.4991 0.5059 0.9958  3 In 3.13-3.17, 7 Tl 3.26-3.47
In 0.9992 0.5059 0.9958  3 In 3.13-3.17, 7 Tl 3.26-3.47
In 0.7160 0.7840 0.7840  4 In 3.17, 4 Tl 3.31-3.53

Computed properties:
E   -0.09209 Ha/atom
Formation energy from the elements   -49 meV per atom



(3)
Compound: LaDy4Ho
Source: Alexandria
Functional: GGA-PBE
Structure: optimized geometry

Cell: 6.6158 6.6158 6.6158 Å, 60.00 60.00 60.00°
With the nearest neighbours (Å) after each atom.
Fractional positions:
La 0.2500 0.2500 0.2500  12 Dy 3.88, 4 Ho 4.05
Ho 0.0000 0.0000 0.0000  12 Dy 3.88, 4 La 4.05
Dy 0.6256 0.6256 0.1232  6 Dy 3.29-3.32
Dy 0.6256 0.1232 0.6256  6 Dy 3.29-3.32
Dy 0.6256 0.6256 0.6256  6 Dy 3.29-3.32
Dy 0.1232 0.6256 0.6256  6 Dy 3.29-3.32

Computed properties:
E   -0.16103 Ha/atom
Formation energy from the elements   270 meV per atom



(4)
Compound: AlRuBr2
Source: Alexandria
Functional: GGA-PBE
Structure: optimized geometry

Cell: 4.8318 4.8318 4.8318 Å, 60.00 60.00 60.00°
With the nearest neighbours (Å) after each atom.
Fractional positions:
Ru 0.7500 0.7500 0.7500  4 Al 2.96, 4 Br 2.96
Al 0.5000 0.5000 0.5000  4 Ru 2.96, 4 Br 2.96
Br 0.0000 0.0000 0.0000  4 Br 2.96, 4 Ru 2.96
Br 0.2500 0.2500 0.2500  4 Br 2.96, 4 Al 2.96

Computed properties:
Raw formation energy   0.79 eV per atom
E   -0.12147 Ha/atom